# 1
{"formula": "Sr2HoAg2Se4", "functional": "PBE", "state": "relaxed", "lattice_angstrom": [[8.006, -2.042, 0.000], [8.006, 2.042, 0.000], [-3.434, 0.000, 7.074]], "species": ["Sr", "Sr", "Ho", "Ag", "Ag", "Se", "Se", "Se", "Se"], "frac_coords": [[0.138, 0.138, 0.086], [0.862, 0.862, 0.914], [0.000, 0.000, 0.500], [0.313, 0.313, 0.495], [0.687, 0.687, 0.505], [0.195, 0.195, 0.752], [0.490, 0.490, 0.759], [0.510, 0.510, 0.241], [0.805, 0.805, 0.248]], "vol_a3_per_cell": 231.3, "mass_density_g_cm3": 6.26, "e_form_raw_kj_per_mol_fu": -1106, "n_ef_per_ev_cell": 2.21}

# 2
{"formula": "SrHoAgSe3", "functional": "PBE", "state": "relaxed", "lattice_angstrom": [[8.441, 0.000, 0.000], [0.000, 4.173, 0.000], [-2.335, 0.000, 9.055]], "species": ["Sr", "Sr", "Ho", "Ho", "Ag", "Ag", "Se", "Se", "Se", "Se", "Se", "Se"], "frac_coords": [[0.200, 0.250, 0.245], [0.800, 0.750, 0.755], [0.323, 0.750, 0.835], [0.677, 0.250, 0.165], [0.091, 0.250, 0.588], [0.909, 0.750, 0.412], [0.098, 0.250, 0.872], [0.262, 0.750, 0.519], [0.439, 0.750, 0.154], [0.561, 0.250, 0.846], [0.738, 0.250, 0.481], [0.902, 0.750, 0.128]], "vol_a3_per_cell": 319.0, "mass_density_g_cm3": 6.22, "e_form_raw_kj_per_mol_fu": -877}

# 3
{"formula": "Tb2HoAg3Se6", "functional": "PBE", "state": "relaxed", "lattice_angstrom": [[8.828, -2.091, 0.000], [8.828, 2.091, 0.000], [-1.433, 0.000, 7.955]], "species": ["Tb", "Tb", "Ho", "Ag", "Ag", "Ag", "Se", "Se", "Se", "Se", "Se", "Se"], "frac_coords": [[0.167, 0.167, 0.329], [0.833, 0.833, 0.671], [0.500, 0.500, 0.000], [0.169, 0.169, 0.825], [0.500, 0.500, 0.500], [0.831, 0.831, 0.175], [0.000, 0.000, 0.245], [0.000, 0.000, 0.755], [0.333, 0.333, 0.422], [0.335, 0.335, 0.919], [0.665, 0.665, 0.081], [0.667, 0.667, 0.578]], "vol_a3_per_cell": 293.7, "mass_density_g_cm3": 7.24, "e_form_raw_kj_per_mol_fu": -1350, "n_ef_per_ev_cell": 0.00}

# 4
{"formula": "HoAg2TeSe4", "functional": "PBE", "state": "relaxed", "lattice_angstrom": [[5.915, -5.659, 0.000], [5.915, 5.659, 0.000], [-5.573, 0.000, 5.942]], "species": ["Ho", "Ho", "Ag", "Ag", "Ag", "Ag", "Te", "Te", "Se", "Se", "Se", "Se", "Se", "Se", "Se", "Se"], "frac_coords": [[0.000, 0.000, 0.000], [0.000, 0.000, 0.500], [0.000, 0.500, 0.000], [0.500, 0.000, 0.500], [0.500, 0.500, 0.000], [0.500, 0.500, 0.500], [0.000, 0.500, 0.500], [0.500, 0.000, 0.000], [0.220, 0.709, 0.455], [0.235, 0.237, 0.986], [0.237, 0.235, 0.486], [0.291, 0.780, 0.045], [0.709, 0.220, 0.955], [0.763, 0.765, 0.514], [0.765, 0.763, 0.014], [0.780, 0.291, 0.545]], "vol_a3_per_cell": 397.8, "mass_density_g_cm3": 6.88, "e_form_raw_kj_per_mol_fu": -424, "n_ef_per_ev_cell": 4.16}

# 5
{"formula": "Ho2Tl3AgSe6", "functional": "PBE", "state": "relaxed", "lattice_angstrom": [[3.608, -6.234, 0.000], [3.608, 6.234, 0.000], [-2.382, 0.000, 7.354]], "species": ["Ho", "Ho", "Tl", "Tl", "Tl", "Ag", "Se", "Se", "Se", "Se", "Se", "Se"], "frac_coords": [[0.166, 0.834, 0.000], [0.834, 0.166, 0.000], [0.000, 0.000, 0.500], [0.325, 0.675, 0.500], [0.675, 0.325, 0.500], [0.500, 0.500, 0.000], [0.097, 0.430, 0.789], [0.233, 0.233, 0.222], [0.430, 0.097, 0.789], [0.570, 0.903, 0.211], [0.767, 0.767, 0.778], [0.903, 0.570, 0.211]], "vol_a3_per_cell": 330.9, "mass_density_g_cm3": 7.65, "e_form_raw_kj_per_mol_fu": -1056, "n_ef_per_ev_cell": 6.26}

# 6
{"formula": "HoTl2Ag2Se4", "functional": "PBE", "state": "relaxed", "lattice_angstrom": [[7.723, -2.057, 0.000], [7.723, 2.057, 0.000], [-2.692, 0.000, 7.589]], "species": ["Ho", "Tl", "Tl", "Ag", "Ag", "Se", "Se", "Se", "Se"], "frac_coords": [[0.000, 0.000, 0.000], [0.131, 0.131, 0.566], [0.869, 0.869, 0.434], [0.321, 0.321, 0.016], [0.679, 0.679, 0.984], [0.197, 0.197, 0.203], [0.490, 0.490, 0.244], [0.510, 0.510, 0.756], [0.803, 0.803, 0.797]], "vol_a3_per_cell": 241.1, "mass_density_g_cm3": 7.61, "e_form_raw_kj_per_mol_fu": -592, "n_ef_per_ev_cell": 4.83}

# 7
{"formula": "Ho4TmAgSe8", "functional": "PBE", "state": "relaxed", "lattice_angstrom": [[4.174, 2.410, 6.796], [-4.174, 2.410, 6.796], [0.000, -4.820, 6.796]], "species": ["Ho", "Ho", "Ho", "Ho", "Tm", "Ag", "Se", "Se", "Se", "Se", "Se", "Se", "Se", "Se"], "frac_coords": [[0.000, 0.000, 0.000], [0.380, 0.380, 0.861], [0.380, 0.861, 0.380], [0.861, 0.380, 0.380], [0.380, 0.380, 0.380], [0.751, 0.751, 0.751], [0.134, 0.134, 0.134], [0.135, 0.135, 0.599], [0.135, 0.599, 0.135], [0.146, 0.617, 0.617], [0.599, 0.135, 0.135], [0.617, 0.146, 0.617], [0.617, 0.617, 0.146], [0.619, 0.619, 0.619]], "vol_a3_per_cell": 410.2, "mass_density_g_cm3": 6.35, "e_form_raw_kj_per_mol_fu": -2222, "n_ef_per_ev_cell": 0.00}

# 8
{"formula": "HoTmAg2Se4", "functional": "PBE", "state": "relaxed", "lattice_angstrom": [[6.916, 0.000, 0.000], [0.000, 4.139, 0.000], [-2.436, 0.000, 6.738]], "species": ["Ho", "Tm", "Ag", "Ag", "Se", "Se", "Se", "Se"], "frac_coords": [[0.000, 0.000, 0.000], [0.000, 0.500, 0.500], [0.500, 0.000, 0.500], [0.500, 0.500, 0.000], [0.242, 0.000, 0.744], [0.243, 0.500, 0.248], [0.757, 0.500, 0.752], [0.758, 0.000, 0.256]], "vol_a3_per_cell": 192.9, "mass_density_g_cm3": 7.45, "e_form_raw_kj_per_mol_fu": -894, "n_ef_per_ev_cell": 0.00}